! Ba2MoBrO4, relaxed, DFT GGA+U; values from VASP
! * total magnetization: 1.0 μB/cell
! * space group: C2/m, No. 12
! * calculated total energy: -6.176 eV per atom
! * DOS(E_F): 0.0 states/eV/f.u.
&SYSTEM
  ibrav = 0, nat = 8, ntyp = 4
/
ATOMIC_SPECIES
Ba 137.33 Ba.upf
Br 79.90 Br.upf
O 16.00 O.upf
Mo 95.94 Mo.upf
CELL_PARAMETERS angstrom
-1.480 1.423 -2.843
-5.185 -1.501 -0.214
-4.368 7.882 4.057
ATOMIC_POSITIONS crystal
Ba 0.824 0.574 0.778
Br 0.500 0.500 0.500
O 0.606 0.746 0.041
O 0.124 0.937 0.814
O 0.394 0.254 0.959
O 0.876 0.063 0.186
Mo 0.000 0.000 0.000
Ba 0.176 0.426 0.222